1.
Computed, not measured: a relaxed structure of TcSb2OsPt at the GGA-PBE level of DFT.

CIF file:
```
data_TcSb2OsPt
_cell_length_a 5.0600
_cell_length_b 5.0600
_cell_length_c 4.9010
_cell_angle_alpha 90.00
_cell_angle_beta 90.00
_cell_angle_gamma 90.00
_symmetry_space_group_name_H-M 'P 4/m m m'
_symmetry_Int_Tables_number 123
_symmetry_space_group_name_Hall '-P 4 2'
loop_
_atom_site_label
_atom_site_type_symbol
_atom_site_fract_x
_atom_site_fract_y
_atom_site_fract_z
Tc1 Tc 0.0000 0.0000 0.0000
Sb1 Sb 0.0000 0.5000 0.5000
Os1 Os 0.5000 0.5000 0.5000
Pt1 Pt 0.5000 0.5000 0.0000
```

## Properties
**Spin magnetization**: 3.600 Bohr magnetons per cell
**Volume**: 125 Å³/cell

2.
Computed, not measured: a relaxed structure of TcSb2OsPt at the GGA-PBE level of DFT.

CIF file:
```
data_TcSb2OsPt
_cell_length_a 5.0337
_cell_length_b 5.0337
_cell_length_c 4.7695
_cell_angle_alpha 90.00
_cell_angle_beta 90.00
_cell_angle_gamma 90.00
_symmetry_space_group_name_H-M 'P 4/m m m'
_symmetry_Int_Tables_number 123
_symmetry_space_group_name_Hall '-P 4 2'
loop_
_atom_site_label
_atom_site_type_symbol
_atom_site_fract_x
_atom_site_fract_y
_atom_site_fract_z
Tc1 Tc 0.0000 0.0000 0.0000
Sb1 Sb 0.0000 0.5000 0.0000
Os1 Os 0.5000 0.5000 0.5000
Pt1 Pt 0.0000 0.0000 0.5000
```

## Properties
**Spin magnetization**: 2.211 Bohr magnetons per cell
**Volume**: 121 Å³/cell

Winner for stability: 1

1.
Computed, not measured: a relaxed structure of Sc2OsPt at the GGA-PBE level of DFT.

CIF file:
```
data_Sc2OsPt
_cell_length_a 4.2321
_cell_length_b 4.2321
_cell_length_c 17.3958
_cell_angle_alpha 90.00
_cell_angle_beta 90.00
_cell_angle_gamma 90.00
_symmetry_space_group_name_H-M 'I -4 2 d'
_symmetry_Int_Tables_number 122
_symmetry_space_group_name_Hall 'I -4 2bw'
loop_
_atom_site_label
_atom_site_type_symbol
_atom_site_fract_x
_atom_site_fract_y
_atom_site_fract_z
Sc1 Sc 0.2433 0.2500 0.1250
Os1 Os 0.0000 0.0000 0.0000
Pt1 Pt 0.0000 0.0000 0.5000
```

## Properties
**Spin magnetization**: 0.000 Bohr magnetons per cell
**Volume**: 312 Å³/cell

2.
Computed, not measured: a relaxed structure of Sc2OsPt at the GGA-PBE level of DFT.

CIF file:
```
data_Sc2OsPt
_cell_length_a 3.6134
_cell_length_b 3.6134
_cell_length_c 5.6256
_cell_angle_alpha 90.00
_cell_angle_beta 90.00
_cell_angle_gamma 90.00
_symmetry_space_group_name_H-M 'P 4 m m'
_symmetry_Int_Tables_number 99
loop_
_symmetry_equiv_pos_as_xyz
'x,y,z'
'-y,x,z'
'-x,-y,z'
'y,-x,z'
'-x,y,z'
'y,x,z'
'x,-y,z'
'-y,-x,z'
loop_
_atom_site_label
_atom_site_type_symbol
_atom_site_fract_x
_atom_site_fract_y
_atom_site_fract_z
Sc1 Sc 0.0000 0.0000 0.0000
Sc2 Sc 0.5000 0.5000 0.3371
Os1 Os 0.0000 0.0000 0.4967
Pt1 Pt 0.5000 0.5000 0.8312
```

## Properties
**Spin magnetization**: 0.000 Bohr magnetons per cell
**Volume**: 73 Å³/cell

3.
Computed, not measured: a relaxed structure of Sc2OsPt at the GGA-PBE level of DFT.

CIF file:
```
data_Sc2OsPt
_cell_length_a 9.8946
_cell_length_b 3.2860
_cell_length_c 4.5060
_cell_angle_alpha 90.00
_cell_angle_beta 104.61
_cell_angle_gamma 90.00
_symmetry_space_group_name_H-M 'C 1 m 1'
_symmetry_Int_Tables_number 8
loop_
_symmetry_equiv_pos_as_xyz
'x,y,z'
'x,-y,z'
'x+1/2,y+1/2,z'
'x+1/2,-y+1/2,z'
loop_
_atom_site_label
_atom_site_type_symbol
_atom_site_fract_x
_atom_site_fract_y
_atom_site_fract_z
Sc1 Sc 0.0000 0.0000 0.0000
Sc2 Sc 0.2304 0.0000 0.6215
Os1 Os 0.4949 0.0000 0.5052
Pt1 Pt 0.2387 0.5000 0.1237
```

## Properties
**Spin magnetization**: 0.000 Bohr magnetons per cell
**Volume**: 142 Å³/cell

4.
Computed, not measured: a relaxed structure of Sc2OsPt at the GGA-PBE level of DFT.

CIF file:
```
data_Sc2OsPt
_cell_length_a 3.2874
_cell_length_b 3.2874
_cell_length_c 6.3387
_cell_angle_alpha 90.00
_cell_angle_beta 90.00
_cell_angle_gamma 90.00
_symmetry_space_group_name_H-M 'P 4/m m m'
_symmetry_Int_Tables_number 123
_symmetry_space_group_name_Hall '-P 4 2'
loop_
_atom_site_label
_atom_site_type_symbol
_atom_site_fract_x
_atom_site_fract_y
_atom_site_fract_z
Sc1 Sc 0.0000 0.0000 0.2426
Os1 Os 0.5000 0.5000 0.0000
Pt1 Pt 0.5000 0.5000 0.5000
```

## Properties
**Spin magnetization**: 0.000 Bohr magnetons per cell
**Volume**: 69 Å³/cell

Winner for stability: 4

1.
Computed, not measured: a relaxed structure of Sc4OsPt at the GGA-PBE level of DFT.

CIF file:
```
data_Sc4OsPt
_cell_length_a 7.5981
_cell_length_b 7.5981
_cell_length_c 7.5981
_cell_angle_alpha 90.00
_cell_angle_beta 90.00
_cell_angle_gamma 90.00
_symmetry_space_group_name_H-M 'F -4 3 m'
_symmetry_Int_Tables_number 216
_symmetry_space_group_name_Hall 'F -4 2 3'
loop_
_atom_site_label
_atom_site_type_symbol
_atom_site_fract_x
_atom_site_fract_y
_atom_site_fract_z
Sc1 Sc 0.1245 0.1245 0.1245
Os1 Os 0.2500 0.2500 0.7500
Pt1 Pt 0.0000 0.0000 0.5000
```

## Properties
**Spin magnetization**: 0.000 Bohr magnetons per cell
**Volume**: 439 Å³/cell

2.
Computed, not measured: a relaxed structure of Sc4OsPt at the GGA-PBE level of DFT.

CIF file:
```
data_Sc4OsPt
_cell_length_a 7.9070
_cell_length_b 4.5720
_cell_length_c 7.7535
_cell_angle_alpha 90.00
_cell_angle_beta 109.97
_cell_angle_gamma 90.00
_symmetry_space_group_name_H-M 'C 1 2/m 1'
_symmetry_Int_Tables_number 12
loop_
_symmetry_equiv_pos_as_xyz
'x,y,z'
'-x,-y,-z'
'-x,y,-z'
'x,-y,z'
'x+1/2,y+1/2,z'
'-x+1/2,-y+1/2,-z'
'-x+1/2,y+1/2,-z'
'x+1/2,-y+1/2,z'
loop_
_atom_site_label
_atom_site_type_symbol
_atom_site_fract_x
_atom_site_fract_y
_atom_site_fract_z
Sc1 Sc 0.1224 0.0000 0.3674
Sc2 Sc 0.1280 0.5000 0.8842
Os1 Os 0.0000 0.0000 0.0000
Pt1 Pt 0.0000 0.5000 0.5000
```

## Properties
**Spin magnetization**: 0.000 Bohr magnetons per cell
**Volume**: 263 Å³/cell

Winner for stability: 2

1.
Computed, not measured: a relaxed structure of TmScOsPt at the GGA-PBE level of DFT.

CIF file:
```
data_TmScOsPt
_cell_length_a 6.6486
_cell_length_b 6.6486
_cell_length_c 6.6486
_cell_angle_alpha 90.00
_cell_angle_beta 90.00
_cell_angle_gamma 90.00
_symmetry_space_group_name_H-M 'F -4 3 m'
_symmetry_Int_Tables_number 216
_symmetry_space_group_name_Hall 'F -4 2 3'
loop_
_atom_site_label
_atom_site_type_symbol
_atom_site_fract_x
_atom_site_fract_y
_atom_site_fract_z
Tm1 Tm 0.0000 0.0000 0.0000
Sc1 Sc 0.0000 0.0000 0.5000
Os1 Os 0.2500 0.2500 0.2500
Pt1 Pt 0.2500 0.2500 0.7500
```

## Properties
**Spin magnetization**: 0.000 Bohr magnetons per cell
**Volume**: 294 Å³/cell

2.
Computed, not measured: a relaxed structure of TmScOsPt at the GGA-PBE level of DFT.

CIF file:
```
data_TmScOsPt
_cell_length_a 3.3618
_cell_length_b 3.3618
_cell_length_c 6.4948
_cell_angle_alpha 90.00
_cell_angle_beta 90.00
_cell_angle_gamma 90.00
_symmetry_space_group_name_H-M 'P 4 m m'
_symmetry_Int_Tables_number 99
loop_
_symmetry_equiv_pos_as_xyz
'x,y,z'
'-y,x,z'
'-x,-y,z'
'y,-x,z'
'-x,y,z'
'y,x,z'
'x,-y,z'
'-y,-x,z'
loop_
_atom_site_label
_atom_site_type_symbol
_atom_site_fract_x
_atom_site_fract_y
_atom_site_fract_z
Tm1 Tm 0.0000 0.0000 0.0000
Sc1 Sc 0.0000 0.0000 0.5133
Os1 Os 0.5000 0.5000 0.7417
Pt1 Pt 0.5000 0.5000 0.2655
```

## Properties
**Spin magnetization**: 0.000 Bohr magnetons per cell
**Volume**: 73 Å³/cell

Winner for stability: 2

1.
Computed, not measured: a relaxed structure of Sr2OsPt at the GGA-PBE level of DFT.

CIF file:
```
data_Sr2OsPt
_cell_length_a 3.6076
_cell_length_b 3.6076
_cell_length_c 8.8204
_cell_angle_alpha 90.00
_cell_angle_beta 90.00
_cell_angle_gamma 90.00
_symmetry_space_group_name_H-M 'P 4 m m'
_symmetry_Int_Tables_number 99
loop_
_symmetry_equiv_pos_as_xyz
'x,y,z'
'-y,x,z'
'-x,-y,z'
'y,-x,z'
'-x,y,z'
'y,x,z'
'x,-y,z'
'-y,-x,z'
loop_
_atom_site_label
_atom_site_type_symbol
_atom_site_fract_x
_atom_site_fract_y
_atom_site_fract_z
Sr1 Sr 0.0000 0.0000 0.0000
Sr2 Sr 0.5000 0.5000 0.4179
Os1 Os 0.0000 0.0000 0.6735
Pt1 Pt 0.5000 0.5000 0.7533
```

## Properties
**Spin magnetization**: 0.639 Bohr magnetons per cell
**Volume**: 115 Å³/cell

2.
Computed, not measured: a relaxed structure of Sr2OsPt at the GGA-PBE level of DFT.

CIF file:
```
data_Sr2OsPt
_cell_length_a 8.2098
_cell_length_b 8.2098
_cell_length_c 5.9330
_cell_angle_alpha 90.00
_cell_angle_beta 90.00
_cell_angle_gamma 90.00
_symmetry_space_group_name_H-M 'I -4 2 d'
_symmetry_Int_Tables_number 122
_symmetry_space_group_name_Hall 'I -4 2bw'
loop_
_atom_site_label
_atom_site_type_symbol
_atom_site_fract_x
_atom_site_fract_y
_atom_site_fract_z
Sr1 Sr 0.2411 0.2500 0.1250
Os1 Os 0.0000 0.0000 0.5000
Pt1 Pt 0.0000 0.0000 0.0000
```

## Properties
**Spin magnetization**: 5.365 Bohr magnetons per cell
**Volume**: 400 Å³/cell

Winner for stability: 1

1.
Computed, not measured: a relaxed structure of Sr2OsPt at the GGA-PBE level of DFT.

CIF file:
```
data_Sr2OsPt
_cell_length_a 7.2863
_cell_length_b 7.2863
_cell_length_c 7.2863
_cell_angle_alpha 90.00
_cell_angle_beta 90.00
_cell_angle_gamma 90.00
_symmetry_space_group_name_H-M 'F m -3 m'
_symmetry_Int_Tables_number 225
_symmetry_space_group_name_Hall '-F 4 2 3'
loop_
_atom_site_label
_atom_site_type_symbol
_atom_site_fract_x
_atom_site_fract_y
_atom_site_fract_z
Sr1 Sr 0.2500 0.2500 0.2500
Os1 Os 0.0000 0.0000 0.0000
Pt1 Pt 0.0000 0.0000 0.5000
```

## Properties
**Spin magnetization**: 0.000 Bohr magnetons per cell
**Volume**: 387 Å³/cell

2.
Computed, not measured: a relaxed structure of Sr2OsPt at the GGA-PBE level of DFT.

CIF file:
```
data_Sr2OsPt
_cell_length_a 4.7518
_cell_length_b 4.7518
_cell_length_c 8.3814
_cell_angle_alpha 90.00
_cell_angle_beta 90.00
_cell_angle_gamma 90.00
_symmetry_space_group_name_H-M 'I 4/m m m'
_symmetry_Int_Tables_number 139
_symmetry_space_group_name_Hall '-I 4 2'
loop_
_atom_site_label
_atom_site_type_symbol
_atom_site_fract_x
_atom_site_fract_y
_atom_site_fract_z
Sr1 Sr 0.0000 0.5000 0.2500
Os1 Os 0.0000 0.0000 0.0000
Pt1 Pt 0.0000 0.0000 0.5000
```

## Properties
**Spin magnetization**: 1.213 Bohr magnetons per cell
**Volume**: 189 Å³/cell

Winner for stability: 2